[1]
{"formula": "YSc2AgI", "functional": "PBE", "state": "optimized geometry", "mass_density_g_cm3": 3.9, "e_form_raw_ev_per_atom": 0.83, "lattice": [[5.601, 0.000, 0.000], [0.000, 5.636, 0.000], [0.000, 0.000, 5.601]], "species": ["Sc", "Sc", "Ag", "Y", "I"], "fractional_positions": [[0.000, 0.000, 0.500], [0.500, 0.000, 0.000], [0.500, 0.500, 0.500], [0.000, 0.000, 0.000], [0.000, 0.500, 0.000]]}

[2]
{"formula": "ThInAgRh", "functional": "PBE", "state": "optimized geometry", "mass_density_g_cm3": 10.7, "delta_e_f_ev_per_atom": -0.39, "lattice": [[4.968, 0.000, 0.000], [2.484, 4.302, 0.000], [2.484, 1.434, 4.056]], "species": ["In", "Rh", "Th", "Ag"], "fractional_positions": [[0.000, 0.000, 0.000], [0.250, 0.250, 0.250], [0.500, 0.500, 0.500], [0.750, 0.750, 0.750]]}

[3]
{"formula": "CsIn4Hg3", "functional": "PBE", "state": "optimized geometry", "mass_density_g_cm3": 7.8, "delta_e_f_ev_per_atom": -0.10, "lattice": [[5.085, 0.000, 0.000], [0.000, 5.085, 0.000], [0.000, 0.000, 9.814]], "species": ["In", "In", "In", "In", "Hg", "Hg", "Hg", "Cs"], "fractional_positions": [[0.000, 0.500, 0.169], [0.500, 0.000, 0.169], [0.500, 0.000, 0.831], [0.000, 0.500, 0.831], [0.000, 0.000, 0.000], [0.500, 0.500, 0.346], [0.500, 0.500, 0.654], [0.000, 0.000, 0.500]]}

[4]
{"formula": "CdOsAu2", "functional": "PBE", "state": "optimized geometry", "mass_density_g_cm3": 16.3, "delta_e_f_ev_per_atom": 0.45, "lattice": [[-2.597, -3.749, 3.596], [3.126, -3.618, 3.297], [-1.702, 5.322, -1.585]], "species": ["Os", "Au", "Au", "Cd"], "fractional_positions": [[0.246, 0.746, 0.500], [0.752, 0.252, 0.500], [0.009, 0.009, 0.000], [0.493, 0.493, 0.000]]}

[5]
{"formula": "VCo4N4", "functional": "PBE", "state": "optimized geometry", "mass_density_g_cm3": 7.0, "e_form_raw_ev_per_atom": 0.02, "lattice": [[-0.432, 2.289, -4.274], [-4.764, 0.905, -0.951], [-1.465, 6.894, 2.673]], "species": ["N", "N", "N", "N", "N", "N", "N", "N", "Co", "Co", "Co", "Co", "Co", "Co", "Co", "Co", "V", "V"], "fractional_positions": [[0.538, 0.370, 0.186], [0.009, 0.283, 0.411], [0.855, 0.848, 0.998], [0.462, 0.630, 0.814], [0.507, 0.795, 0.401], [0.991, 0.717, 0.589], [0.493, 0.205, 0.599], [0.145, 0.152, 0.002], [0.257, 0.544, 0.402], [0.754, 0.610, 0.214], [0.246, 0.390, 0.786], [0.747, 0.042, 0.395], [0.746, 0.264, 0.953], [0.253, 0.958, 0.605], [0.254, 0.736, 0.047], [0.743, 0.456, 0.598], [0.281, 0.142, 0.227], [0.719, 0.858, 0.773]]}

[6]
{"formula": "La9Pm4Pr11", "functional": "PBE", "state": "optimized geometry", "mass_density_g_cm3": 6.4, "delta_e_f_ev_per_atom": 0.05, "lattice": [[-2.282, 2.354, -1.807], [-7.191, -12.596, -7.324], [-6.209, 4.879, 14.200]], "species": ["Pr", "Pr", "Pr", "Pr", "Pr", "Pr", "Pr", "Pr", "Pr", "Pr", "Pr", "La", "La", "La", "La", "La", "La", "La", "La", "La", "Pm", "Pm", "Pm", "Pm"], "fractional_positions": [[0.000, 0.379, 0.621], [0.000, 0.815, 0.185], [0.000, 0.185, 0.815], [0.000, 0.598, 0.965], [0.000, 0.000, 0.000], [0.000, 0.402, 0.035], [0.000, 0.965, 0.598], [0.000, 0.777, 0.777], [0.000, 0.223, 0.223], [0.000, 0.621, 0.379], [0.000, 0.035, 0.402], [0.500, 0.612, 0.174], [0.500, 0.204, 0.019], [0.500, 0.019, 0.204], [0.500, 0.796, 0.981], [0.500, 0.174, 0.612], [0.500, 0.388, 0.826], [0.500, 0.500, 0.500], [0.500, 0.826, 0.388], [0.500, 0.981, 0.796], [0.500, 0.761, 0.582], [0.500, 0.239, 0.418], [0.500, 0.418, 0.239], [0.500, 0.582, 0.761]]}

[7]
{"formula": "Cs2ThAg3I12", "functional": "PBE", "state": "optimized geometry", "mass_density_g_cm3": 4.0, "e_form_raw_ev_per_atom": -0.70, "lattice": [[-8.935, -8.113, 1.330], [0.426, -12.133, 0.126], [-2.184, -7.795, 9.049]], "species": ["I", "I", "I", "I", "I", "I", "I", "I", "I", "I", "I", "I", "Ag", "Ag", "Ag", "Cs", "Cs", "Th"], "fractional_positions": [[0.680, 0.680, 0.102], [0.907, 0.345, 0.907], [0.093, 0.655, 0.093], [0.680, 0.102, 0.680], [0.907, 0.907, 0.345], [0.345, 0.907, 0.907], [0.655, 0.093, 0.093], [0.093, 0.093, 0.655], [0.320, 0.898, 0.320], [0.320, 0.320, 0.898], [0.102, 0.680, 0.680], [0.898, 0.320, 0.320], [0.500, 0.000, 0.000], [0.000, 0.500, 0.000], [0.000, 0.000, 0.500], [0.648, 0.648, 0.648], [0.352, 0.352, 0.352], [0.000, 0.000, 0.000]]}

[8]
{"formula": "Ca2YHg9", "functional": "PBE", "state": "optimized geometry", "mass_density_g_cm3": 10.8, "delta_e_f_ev_per_atom": -0.36, "lattice": [[4.649, 0.000, 0.000], [0.000, 4.649, 0.000], [0.000, 0.000, 14.057]], "species": ["Hg", "Hg", "Hg", "Hg", "Hg", "Hg", "Hg", "Hg", "Hg", "Ca", "Ca", "Y"], "fractional_positions": [[0.000, 0.500, 0.837], [0.000, 0.500, 0.163], [0.000, 0.500, 0.500], [0.500, 0.000, 0.837], [0.500, 0.500, 0.333], [0.500, 0.500, 0.000], [0.500, 0.000, 0.500], [0.500, 0.000, 0.163], [0.500, 0.500, 0.667], [0.000, 0.000, 0.334], [0.000, 0.000, 0.666], [0.000, 0.000, 0.000]]}